An optimized crystal structure of SmEuFeSnO6, computed with PBE with a Hubbard U.

Summary:
Space-group type: F-43m (216)
Total DFT energy (no corrections) (eV per cell): -73.87
Volume (A^3/atom): 12.34

Cell and atoms, written as extended XYZ:
```
10
Lattice="0.0000 3.9511 3.9511 3.9511 0.0000 3.9511 3.9511 3.9511 0.0000" Properties=species:S:1:pos:R:3 pbc="T T T"
Sm 0.0000 0.0000 0.0000
Eu 3.9511 3.9511 3.9511
Fe 1.9755 1.9755 1.9755
Sn 5.9266 5.9266 5.9266
O 1.9755 1.9755 0.0397
O 1.9755 0.0397 1.9755
O 3.9113 1.9755 1.9755
O 0.0397 1.9755 1.9755
O 1.9755 3.9113 1.9755
O 1.9755 1.9755 3.9113
```